A plane-wave DFT calculation with GGA+U was carried out for a geometry-optimized CaMn2PbF8 structure.

```
CaMn2PbF8
1.0
5.220 0.014 -0.004
0.056 5.214 -0.006
0.004 0.008 7.095
Ca Mn Pb F
1 2 1 8
Cartesian
0.000 0.000 0.000 Ca
2.642 2.620 5.367 Mn
2.639 2.616 1.718 Mn
0.002 0.004 3.547 Pb
1.143 4.102 1.644 F
3.619 3.602 -0.006 F
4.137 1.131 1.645 F
4.138 1.134 5.441 F
1.662 1.633 7.091 F
1.144 4.105 5.440 F
3.539 3.528 3.541 F
1.742 1.708 3.544 F
```

Properties
- V: 16.1 Å³ per atom
- Uncorrected energy: -70.29 eV for the cell shown